No. 1
This record from Alexandria via LeMat-Bulk describes an optimized crystal structure of La2NbN. The functional is GGA-PBE.

abc: 6.587 6.587 6.587
angles: 113.64 113.64 101.41
Element x y z (fractional)
La  0.029  0.125  0.404
La  0.375  0.971  0.096
La  0.721  0.625  0.596
La  0.875  0.279  0.904
Nb  0.250  0.750  0.500
Nb  0.500  0.500  0.000
N  0.000  0.000  0.000
N  0.750  0.250  0.500

- total DFT energy (no corrections) (eV/atom) = -6.918
- DOS(E_F) (states/eV/cell) = 11.2
- space group = I-42d

=====

No. 2
This record from Alexandria via LeMat-Bulk describes an optimized crystal structure of KBa2TlSe4. The functional is GGA-PBE.

abc: 9.146 9.146 9.146
angles: 119.52 118.17 92.02
Element x y z (fractional)
K  0.500  0.000  0.000
K  0.500  0.500  0.500
Ba  0.000  0.000  0.000
Ba  0.000  0.000  0.500
Ba  0.000  0.500  0.000
Ba  0.500  0.000  0.500
Tl  0.000  0.500  0.500
Tl  0.500  0.500  0.000
Se  0.214  0.716  0.498
Se  0.251  0.250  0.499
Se  0.251  0.752  0.001
Se  0.282  0.284  0.998
Se  0.718  0.716  0.002
Se  0.749  0.248  0.999
Se  0.749  0.750  0.501
Se  0.786  0.284  0.502

- total DFT energy (no corrections) (eV/atom) = -3.856
- DOS(E_F) (states/eV/cell) = 6.4
- space group = Imma